[1]
# KBaSr2 PBE-GGA optimized geometry
# SG: Cmm2, No. 35
# ΔE_f: 52 meV/atom
# Magnetization: 0.000 μB per atom
data_KBaSr2
_symmetry_space_group_name_H-M 'P 1'
_symmetry_Int_Tables_number 1
_cell_length_a 4.248
_cell_length_b 4.248
_cell_length_c 14.378
_cell_angle_alpha 90.00
_cell_angle_beta 90.00
_cell_angle_gamma 111.42
loop_
_symmetry_equiv_pos_as_xyz
'x,y,z'
loop_
_atom_site_label
_atom_site_type_symbol
_atom_site_fract_x
_atom_site_fract_y
_atom_site_fract_z
Sr1 Sr 0.500 0.500 0.246
Ba1 Ba 0.000 0.000 0.488
Sr2 Sr 0.000 0.000 0.012
K1 K 0.500 0.500 0.754

---

[2]
# KBaSr2 PBE-GGA optimized geometry
# SG: Cmmm, No. 65
# ΔE_f: 50 meV/atom
# Magnetization: 0.000 μB per atom
data_KBaSr2
_symmetry_space_group_name_H-M 'P 1'
_symmetry_Int_Tables_number 1
_cell_length_a 4.236
_cell_length_b 4.236
_cell_length_c 14.283
_cell_angle_alpha 90.00
_cell_angle_beta 90.00
_cell_angle_gamma 110.39
loop_
_symmetry_equiv_pos_as_xyz
'x,y,z'
loop_
_atom_site_label
_atom_site_type_symbol
_atom_site_fract_x
_atom_site_fract_y
_atom_site_fract_z
K1 K 0.500 0.500 0.750
Sr1 Sr 0.000 0.000 0.009
Sr2 Sr 0.000 0.000 0.491
Ba1 Ba 0.500 0.500 0.250

---

[3]
# KBa4Sr6 PBE-GGA optimized geometry
# SG: P-6m2, No. 187
# ΔE_f: 126 meV/atom
# Magnetization: 0.000 μB per atom
data_KBa4Sr6
_symmetry_space_group_name_H-M 'P 1'
_symmetry_Int_Tables_number 1
_cell_length_a 4.293
_cell_length_b 13.696
_cell_length_c 13.696
_cell_angle_alpha 120.00
_cell_angle_beta 90.00
_cell_angle_gamma 90.00
loop_
_symmetry_equiv_pos_as_xyz
'x,y,z'
loop_
_atom_site_label
_atom_site_type_symbol
_atom_site_fract_x
_atom_site_fract_y
_atom_site_fract_z
Sr1 Sr 0.500 0.174 0.347
Ba1 Ba 0.000 0.333 0.667
Sr2 Sr 0.000 0.495 0.505
Sr3 Sr 0.000 0.495 0.991
Sr4 Sr 0.500 0.653 0.826
Ba2 Ba 0.500 0.794 0.206
Sr5 Sr 0.500 0.174 0.826
Sr6 Sr 0.000 0.009 0.505
K1 K 0.000 0.000 0.000
Ba3 Ba 0.500 0.412 0.206
Ba4 Ba 0.500 0.794 0.588

---

[4]
# KBa4Sr8 PBE-GGA optimized geometry
# SG: I4/m, No. 87
# ΔE_f: 29 meV/atom
# Magnetization: 0.000 μB per atom
data_KBa4Sr8
_symmetry_space_group_name_H-M 'P 1'
_symmetry_Int_Tables_number 1
_cell_length_a 6.153
_cell_length_b 11.562
_cell_length_c 11.562
_cell_angle_alpha 85.94
_cell_angle_beta 74.57
_cell_angle_gamma 74.57
loop_
_symmetry_equiv_pos_as_xyz
'x,y,z'
loop_
_atom_site_label
_atom_site_type_symbol
_atom_site_fract_x
_atom_site_fract_y
_atom_site_fract_z
K1 K 0.000 0.000 0.000
Sr1 Sr 0.537 0.158 0.767
Ba1 Ba 0.154 0.614 0.079
Sr2 Sr 0.924 0.688 0.464
Sr3 Sr 0.304 0.233 0.158
Sr4 Sr 0.388 0.536 0.688
Ba2 Ba 0.767 0.079 0.386
Ba3 Ba 0.233 0.921 0.614
Sr5 Sr 0.463 0.842 0.233
Sr6 Sr 0.696 0.767 0.842
Sr7 Sr 0.612 0.464 0.312
Ba4 Ba 0.846 0.386 0.921
Sr8 Sr 0.076 0.312 0.536

---

[5]
# KBa2Sr6 PBE-GGA optimized geometry
# SG: P-6m2, No. 187
# ΔE_f: 52 meV/atom
# Magnetization: 0.023 μB per atom
data_KBa2Sr6
_symmetry_space_group_name_H-M 'P 1'
_symmetry_Int_Tables_number 1
_cell_length_a 4.300
_cell_length_b 4.300
_cell_length_c 32.915
_cell_angle_alpha 90.00
_cell_angle_beta 90.00
_cell_angle_gamma 120.00
loop_
_symmetry_equiv_pos_as_xyz
'x,y,z'
loop_
_atom_site_label
_atom_site_type_symbol
_atom_site_fract_x
_atom_site_fract_y
_atom_site_fract_z
Ba1 Ba 0.333 0.667 0.331
Sr1 Sr 0.667 0.333 0.221
Ba2 Ba 0.333 0.667 0.669
Sr2 Sr 0.333 0.667 0.884
Sr3 Sr 0.333 0.667 0.116
Sr4 Sr 0.667 0.333 0.560
Sr5 Sr 0.667 0.333 0.779
K1 K 0.667 0.333 0.000
Sr6 Sr 0.667 0.333 0.440

---

[6]
# KBa5Sr5 PBE-GGA optimized geometry
# SG: P-6m2, No. 187
# ΔE_f: 133 meV/atom
# Magnetization: 0.187 μB per atom
data_KBa5Sr5
_symmetry_space_group_name_H-M 'P 1'
_symmetry_Int_Tables_number 1
_cell_length_a 7.632
_cell_length_b 7.632
_cell_length_c 14.256
_cell_angle_alpha 90.00
_cell_angle_beta 90.00
_cell_angle_gamma 120.00
loop_
_symmetry_equiv_pos_as_xyz
'x,y,z'
loop_
_atom_site_label
_atom_site_type_symbol
_atom_site_fract_x
_atom_site_fract_y
_atom_site_fract_z
Ba1 Ba 0.000 0.000 0.000
Ba2 Ba 0.333 0.667 0.671
Ba3 Ba 0.667 0.333 0.199
Ba4 Ba 0.667 0.333 0.801
Sr1 Sr 0.338 0.169 0.500
Sr2 Sr 0.831 0.662 0.500
Sr3 Sr 0.000 0.000 0.266
Sr4 Sr 0.000 0.000 0.734
K1 K 0.333 0.667 0.000
Ba5 Ba 0.333 0.667 0.329
Sr5 Sr 0.831 0.169 0.500

---

[7]
# K2BaSr2 PBE-GGA optimized geometry
# SG: P4/mbm, No. 127
# ΔE_f: 190 meV/atom
# Magnetization: 0.000 μB per atom
data_K2BaSr2
_symmetry_space_group_name_H-M 'P 1'
_symmetry_Int_Tables_number 1
_cell_length_a 11.918
_cell_length_b 11.918
_cell_length_c 4.546
_cell_angle_alpha 90.00
_cell_angle_beta 90.00
_cell_angle_gamma 90.00
loop_
_symmetry_equiv_pos_as_xyz
'x,y,z'
loop_
_atom_site_label
_atom_site_type_symbol
_atom_site_fract_x
_atom_site_fract_y
_atom_site_fract_z
Ba1 Ba 0.500 0.500 0.000
Ba2 Ba 0.000 0.000 0.000
Sr1 Sr 0.374 0.874 0.000
Sr2 Sr 0.126 0.374 0.000
Sr3 Sr 0.874 0.626 0.000
K1 K 0.829 0.329 0.500
K2 K 0.171 0.671 0.500
K3 K 0.329 0.171 0.500
K4 K 0.671 0.829 0.500
Sr4 Sr 0.626 0.126 0.000

---

[8]
# KBaSr2 PBE-GGA optimized geometry
# SG: Cmmm, No. 65
# ΔE_f: 81 meV/atom
# Magnetization: 0.000 μB per atom
data_KBaSr2
_symmetry_space_group_name_H-M 'P 1'
_symmetry_Int_Tables_number 1
_cell_length_a 7.719
_cell_length_b 7.719
_cell_length_c 4.343
_cell_angle_alpha 90.00
_cell_angle_beta 90.00
_cell_angle_gamma 110.46
loop_
_symmetry_equiv_pos_as_xyz
'x,y,z'
loop_
_atom_site_label
_atom_site_type_symbol
_atom_site_fract_x
_atom_site_fract_y
_atom_site_fract_z
Ba1 Ba 0.500 0.000 0.500
Sr1 Sr 0.500 0.500 0.000
K1 K 0.000 0.500 0.500
Sr2 Sr 0.000 0.000 0.000

---

[9]
# KBaSr2 PBE-GGA optimized geometry
# SG: Pmmm, No. 47
# ΔE_f: 85 meV/atom
# Magnetization: 0.000 μB per atom
data_KBaSr2
_symmetry_space_group_name_H-M 'P 1'
_symmetry_Int_Tables_number 1
_cell_length_a 4.732
_cell_length_b 7.119
_cell_length_c 7.165
_cell_angle_alpha 90.00
_cell_angle_beta 90.00
_cell_angle_gamma 90.00
loop_
_symmetry_equiv_pos_as_xyz
'x,y,z'
loop_
_atom_site_label
_atom_site_type_symbol
_atom_site_fract_x
_atom_site_fract_y
_atom_site_fract_z
Sr1 Sr 0.000 0.000 0.000
Sr2 Sr 0.500 0.500 0.000
K1 K 0.000 0.500 0.500
Ba1 Ba 0.500 0.000 0.500

---

[10]
# KBa5Sr6 PBE-GGA optimized geometry
# SG: C2/m, No. 12
# ΔE_f: 38 meV/atom
# Magnetization: 0.000 μB per atom
data_KBa5Sr6
_symmetry_space_group_name_H-M 'P 1'
_symmetry_Int_Tables_number 1
_cell_length_a 9.781
_cell_length_b 9.781
_cell_length_c 7.630
_cell_angle_alpha 96.74
_cell_angle_beta 96.74
_cell_angle_gamma 83.78
loop_
_symmetry_equiv_pos_as_xyz
'x,y,z'
loop_
_atom_site_label
_atom_site_type_symbol
_atom_site_fract_x
_atom_site_fract_y
_atom_site_fract_z
Sr1 Sr 0.084 0.418 0.253
Sr2 Sr 0.251 0.251 0.752
Ba1 Ba 0.334 0.666 0.000
Ba2 Ba 0.833 0.167 0.500
Ba3 Ba 0.167 0.833 0.500
Ba4 Ba 0.666 0.334 0.000
Ba5 Ba 0.500 0.500 0.500
Sr3 Sr 0.749 0.749 0.248
Sr4 Sr 0.916 0.582 0.747
Sr5 Sr 0.582 0.916 0.747
Sr6 Sr 0.418 0.084 0.253
K1 K 0.000 0.000 0.000

---

[11]
# K6Ba7Sr16 PBE-GGA optimized geometry
# SG: Fm-3m, No. 225
# ΔE_f: 133 meV/atom
# Magnetization: 0.000 μB per atom
data_K6Ba7Sr16
_symmetry_space_group_name_H-M 'P 1'
_symmetry_Int_Tables_number 1
_cell_length_a 14.053
_cell_length_b 14.053
_cell_length_c 14.053
_cell_angle_alpha 60.00
_cell_angle_beta 60.00
_cell_angle_gamma 60.00
loop_
_symmetry_equiv_pos_as_xyz
'x,y,z'
loop_
_atom_site_label
_atom_site_type_symbol
_atom_site_fract_x
_atom_site_fract_y
_atom_site_fract_z
K1 K 0.784 0.784 0.216
Ba1 Ba 0.000 0.500 0.000
Sr1 Sr 0.175 0.175 0.175
K2 K 0.784 0.216 0.216
Sr2 Sr 0.136 0.621 0.621
K3 K 0.216 0.216 0.784
Ba2 Ba 0.000 0.500 0.500
Sr3 Sr 0.474 0.175 0.175
Ba3 Ba 0.500 0.000 0.500
Sr4 Sr 0.621 0.136 0.621
K4 K 0.216 0.784 0.216
Sr5 Sr 0.825 0.825 0.825
Ba4 Ba 0.500 0.000 0.000
Sr6 Sr 0.621 0.621 0.621
Sr7 Sr 0.621 0.621 0.136
Sr8 Sr 0.379 0.379 0.864
K5 K 0.784 0.216 0.784
K6 K 0.216 0.784 0.784
Ba5 Ba 0.500 0.500 0.500
Sr9 Sr 0.825 0.825 0.526
Sr10 Sr 0.175 0.175 0.474
Sr11 Sr 0.175 0.474 0.175
Sr12 Sr 0.379 0.379 0.379
Sr13 Sr 0.864 0.379 0.379
Ba6 Ba 0.500 0.500 0.000
Ba7 Ba 0.000 0.000 0.500
Sr14 Sr 0.825 0.526 0.825
Sr15 Sr 0.379 0.864 0.379
Sr16 Sr 0.526 0.825 0.825

---

[12]
# KBaSr3 PBE-GGA optimized geometry
# SG: Pm-3m, No. 221
# ΔE_f: 487 meV/atom
# Magnetization: 0.254 μB per atom
data_KBaSr3
_symmetry_space_group_name_H-M 'P 1'
_symmetry_Int_Tables_number 1
_cell_length_a 6.950
_cell_length_b 6.950
_cell_length_c 6.950
_cell_angle_alpha 90.00
_cell_angle_beta 90.00
_cell_angle_gamma 90.00
loop_
_symmetry_equiv_pos_as_xyz
'x,y,z'
loop_
_atom_site_label
_atom_site_type_symbol
_atom_site_fract_x
_atom_site_fract_y
_atom_site_fract_z
Sr1 Sr 0.000 0.500 0.000
K1 K 0.000 0.000 0.000
Ba1 Ba 0.500 0.500 0.500
Sr2 Sr 0.500 0.000 0.000
Sr3 Sr 0.000 0.000 0.500